The following is a DFT calculation (PBE) of crystalline GeIBr3 at its relaxed geometry.

Lattice parameters (Å, degrees): 5.812 5.812 5.812 90.00 90.00 90.00
Element x y z (fractional)
Ge (0.000, 0.000, 0.000)
I (0.500, 0.500, 0.500)
Br (0.000, 0.500, 0.500)
Br (0.500, 0.000, 0.500)
Br (0.500, 0.500, 0.000)

Output
Uncorrected formation energy: 0.53 eV per atom
Energy relative to the lowest polymorph listed for this composition: 101.10 kJ per mole of atoms
Space-group type: No. 221

The following is a DFT calculation (PBE) of crystalline Ga2AsSF at its relaxed geometry.

Lattice parameters (Å, degrees): 4.949 4.949 3.921 90.00 90.00 90.00
Element x y z (fractional)
Ga (0.000, 0.500, 0.000)
Ga (0.500, 0.000, 0.000)
As (0.000, 0.000, 0.500)
S (0.500, 0.500, 0.000)
F (0.500, 0.500, 0.500)

Output
Uncorrected formation energy: -0.08 eV per atom
Space-group type: No. 123

The following is a DFT calculation (PBE) of crystalline La2PrPaP4 at its relaxed geometry.

Lattice parameters (Å, degrees): 7.203 4.163 7.235 90.00 109.33 90.00
Element x y z (fractional)
La (0.000, 0.000, 0.000)
La (0.500, 0.500, 0.000)
Pr (0.000, 0.500, 0.500)
Pa (0.500, 0.000, 0.500)
P (0.259, 0.000, 0.738)
P (0.266, 0.500, 0.268)
P (0.734, 0.500, 0.732)
P (0.741, 0.000, 0.262)

Output
Energy relative to the elements: -11.966 eV per formula unit
Space-group type: No. 10

The following is a DFT calculation (PBE) of crystalline CaCu3Sn2 at its relaxed geometry.

Lattice parameters (Å, degrees): 8.631 8.631 7.545 115.39 115.39 29.36
Element x y z (fractional)
Ca (0.150, 0.150, 0.100)
Ca (0.850, 0.850, 0.900)
Cu (0.015, 0.015, 0.673)
Cu (0.300, 0.300, 0.529)
Cu (0.414, 0.414, 0.371)
Cu (0.586, 0.586, 0.629)
Cu (0.700, 0.700, 0.471)
Cu (0.985, 0.985, 0.327)
Sn (0.181, 0.181, 0.670)
Sn (0.470, 0.470, 0.786)
Sn (0.530, 0.530, 0.214)
Sn (0.819, 0.819, 0.330)

Output
Energy relative to the elements: -1.200 eV per formula unit
Space-group type: No. 12

The following is a DFT calculation (PBE) of crystalline LaCrSe2 at its relaxed geometry.

Lattice parameters (Å, degrees): 5.001 5.001 3.892 90.00 90.00 90.00
Element x y z (fractional)
La (0.000, 0.000, 0.000)
Cr (0.500, 0.500, 0.615)
Se (0.000, 0.500, 0.503)
Se (0.500, 0.000, 0.503)

Output
Uncorrected formation energy: -1.10 eV per atom
Energy relative to the lowest polymorph listed for this composition: 0.00 kJ per mole of atoms
Space-group type: No. 99

The following is a DFT calculation (PBE) of crystalline Be2MoP at its relaxed geometry.

Lattice parameters (Å, degrees): 4.762 7.190 2.781 90.00 90.00 90.00
Element x y z (fractional)
Be (0.250, 0.250, 0.000)
Be (0.250, 0.750, 0.000)
Be (0.750, 0.250, 0.000)
Be (0.750, 0.750, 0.000)
Mo (0.000, 0.000, 0.500)
Mo (0.500, 0.500, 0.500)
P (0.000, 0.500, 0.500)
P (0.500, 0.000, 0.500)

Output
Energy relative to the elements: 0.549 eV per formula unit
Space-group type: No. 65

no.,total energy (eV per atom)
1,-1.71
2,-3.42
3,-7.22
4,-3.92
5,-6.48
6,-5.79